Entry 1
This record from Alexandria describes a relaxed structure of Li2PuSi2. The functional is GGA-PBE.

Cell lengths 3.9088, 4.1209, 22.9376 Å; angles 90.00, 90.00, 90.00 degrees
Space group Imma (No. 74)
Symmetry-distinct sites (fractional):
Li 0.0000 0.2500 0.1957 x4
Li 0.0000 0.2500 0.6992 x4
Pu 0.0000 0.2500 0.4247 x4
Si 0.0000 0.2500 0.8736 x4
Si 0.0000 0.2500 0.9746 x4

Properties
Total magnetic moment: 20.75 μB/cell
N(E_F): 10.6 states/eV/f.u.
ρ: 5.65 g/cm3


Entry 2
This record from Alexandria describes a relaxed structure of Li2PuSi2. The functional is GGA-PBE.

Cell lengths 3.9336, 3.9336, 11.1828 Å; angles 90.00, 90.00, 90.00 degrees
Space group P4/nmm (No. 129, origin choice 2)
Symmetry-distinct sites (fractional):
Li 0.2500 0.2500 0.1280 x2
Li 0.2500 0.7500 0.5000 x2
Pu 0.2500 0.2500 0.7683 x2
Si 0.2500 0.2500 0.3410 x2
Si 0.2500 0.7500 0.0000 x2

Properties
Total magnetic moment: 10.09 μB/cell
N(E_F): 9.9 states/eV/f.u.
ρ: 6.03 g/cm3


Which of them is the least stable? Correct choice: entry 2.


Entry 1
This record from Alexandria describes a relaxed structure of LiSm2Pu. The functional is GGA-PBE.

Cell lengths 3.3883, 3.3883, 36.2452 Å; angles 90.00, 90.00, 120.00 degrees
Space group R-3m (No. 166, hexagonal axes)
Symmetry-distinct sites (fractional):
Li 0.0000 0.0000 0.0000 x3
Sm 0.0000 0.0000 0.4093 x6
Pu 0.0000 0.0000 0.5000 x3

Properties
Total magnetic moment: 19.20 μB/cell
N(E_F): 10.9 states/eV/f.u.
ρ: 7.63 g/cm3


Entry 2
This record from Alexandria describes a relaxed structure of LiSm2Pu. The functional is GGA-PBE.

Cell lengths 3.4856, 3.4856, 9.4524 Å; angles 90.00, 90.00, 90.00 degrees
Space group P4/mmm (No. 123)
Symmetry-distinct sites (fractional):
Li 0.0000 0.0000 0.0000 x1
Sm 0.5000 0.5000 0.2417 x2
Pu 0.0000 0.0000 0.5000 x1

Properties
Total magnetic moment: 5.99 μB/cell
N(E_F): 9.8 states/eV/f.u.
ρ: 7.98 g/cm3


Entry 3
This record from Alexandria describes a relaxed structure of LiSm2Pu. The functional is GGA-PBE.

Cell lengths 5.6424, 5.6424, 3.5625 Å; angles 90.00, 90.00, 90.00 degrees
Space group P4/mmm (No. 123)
Symmetry-distinct sites (fractional):
Li 0.0000 0.0000 0.0000 x1
Sm 0.0000 0.5000 0.5000 x2
Pu 0.5000 0.5000 0.0000 x1

Properties
Total magnetic moment: 6.62 μB/cell
N(E_F): 10.0 states/eV/f.u.
ρ: 8.08 g/cm3


Which of them is the least stable? Correct choice: entry 1.